Record 1
Computed, not measured: a relaxed structure of NaAsSO2 at the PBE level of DFT.

Cell and atoms, written as POSCAR:
```
NaAsSO2
1.0
-2.001 -2.785 2.002
5.663 -3.144 1.287
0.410 2.106 3.341
Na As S O
1 1 1 2
Direct
0.000 0.000 0.000
0.000 0.500 0.000
0.500 0.500 0.500
0.000 0.000 0.500
0.500 0.000 0.000
```

Properties
Formation energy without anion corrections ... 0.800 eV per atom



Record 2
Computed, not measured: a relaxed structure of NaPr2ReN4 at the PBE level of DFT.

Cell and atoms, written as POSCAR:
```
NaPr2ReN4
1.0
5.857 0.249 0.000
-0.238 5.857 0.000
-2.810 -3.053 3.773
Na Pr Re N
1 2 1 4
Direct
0.999 0.999 0.998
0.750 0.250 0.499
0.250 0.750 0.499
0.500 0.500 0.000
0.641 0.641 0.843
0.360 0.799 0.158
0.799 0.360 0.158
0.202 0.202 0.843
```

Properties
Formation energy without anion corrections ... -0.696 eV per atom



Record 3
Computed, not measured: a relaxed structure of Pr2Nd5SmDy at the PBE level of DFT.

Cell and atoms, written as POSCAR:
```
Pr2Nd5SmDy
1.0
8.802 0.000 0.000
0.000 8.802 0.000
-4.401 -4.401 8.199
Pr Nd Sm Dy
4 10 2 2
Direct
0.120 0.380 0.000
0.620 0.120 0.000
0.380 0.880 0.000
0.880 0.620 0.000
0.929 0.429 0.283
0.645 0.145 0.717
0.071 0.571 0.717
0.145 0.071 0.717
0.571 0.645 0.717
0.855 0.929 0.283
0.429 0.355 0.283
0.355 0.855 0.283
0.500 0.500 0.000
0.000 0.000 0.000
0.250 0.250 0.500
0.750 0.750 0.500
0.250 0.750 0.500
0.750 0.250 0.500
```

Properties
VASP energy ... -4.480 eV per atom



Record 4
Computed, not measured: a relaxed structure of ScCd2Cl at the PBE level of DFT.

Cell and atoms, written as POSCAR:
```
ScCd2Cl
1.0
-0.472 -4.094 3.194
4.365 1.424 2.471
-1.885 1.942 2.211
Cd Cl Sc
2 1 1
Direct
0.000 0.000 0.000
0.500 0.500 0.000
0.500 0.000 0.500
0.000 0.500 0.500
```

Properties
E above lowest polymorph ... 344.8 meV per atom
Formation energy without anion corrections ... -0.246 eV per atom



Record 5
Computed, not measured: a relaxed structure of ZrZn2Ag at the PBE level of DFT.

Cell and atoms, written as POSCAR:
```
ZrZn2Ag
1.0
9.854 0.039 0.023
9.410 2.923 0.023
9.410 1.447 2.540
Ag Zn Zr
1 2 1
Direct
0.745 0.745 0.745
0.000 0.000 0.000
0.254 0.254 0.254
0.502 0.502 0.502
```

Properties
VASP energy ... -3.448 eV per atom



Record 6
Computed, not measured: a relaxed structure of TbErBeNi at the PBE level of DFT.

Cell and atoms, written as POSCAR:
```
TbErBeNi
1.0
4.786 0.000 0.000
2.393 4.144 0.000
2.393 1.381 3.907
Ni Tb Be Er
1 1 1 1
Direct
0.000 0.000 0.000
0.250 0.250 0.250
0.500 0.500 0.500
0.750 0.750 0.750
```

Properties
VASP energy ... -4.820 eV per atom



Record 7
Computed, not measured: a relaxed structure of AlB2P at the PBE level of DFT.

Cell and atoms, written as POSCAR:
```
AlB2P
1.0
4.370 0.000 0.000
0.000 4.169 0.000
-1.851 0.000 6.826
P B Al
2 4 2
Direct
0.477 0.500 0.610
0.914 0.000 0.158
0.173 0.195 0.671
0.173 0.805 0.671
0.911 0.500 0.636
0.259 0.500 0.837
0.341 0.000 0.986
0.002 0.500 0.350
```

Properties
E above lowest polymorph ... 15.0 meV per atom



Record 8
Computed, not measured: a relaxed structure of CeDyRuPb at the PBE level of DFT.

Cell and atoms, written as POSCAR:
```
CeDyRuPb
1.0
-2.354 2.048 1.340
-2.243 -2.550 -0.043
2.449 -2.286 7.795
Ce Dy Ru Pb
1 1 1 1
Direct
0.500 0.500 0.773
0.500 0.500 0.367
0.000 0.000 0.570
0.000 0.000 0.075
```

Properties
VASP energy ... -6.311 eV per atom



Record 9
Computed, not measured: a relaxed structure of Sr2Mg2Au15 at the PBE level of DFT.

Cell and atoms, written as POSCAR:
```
Sr2Mg2Au15
1.0
-5.819 -3.863 -2.443
3.464 -4.106 -5.088
0.985 -6.133 4.021
Sr Mg Au
2 2 15
Direct
0.349 0.349 0.349
0.651 0.651 0.651
0.103 0.103 0.103
0.897 0.897 0.897
0.500 0.000 0.000
0.000 0.000 0.500
0.000 0.500 0.000
0.000 0.701 0.299
0.701 0.299 0.000
0.299 0.000 0.701
0.299 0.701 0.000
0.701 0.000 0.299
0.000 0.299 0.701
0.152 0.649 0.649
0.649 0.649 0.152
0.649 0.152 0.649
0.848 0.351 0.351
0.351 0.351 0.848
0.351 0.848 0.351
```

Properties
VASP energy ... -3.311 eV per atom



| no. | spin magnetization (μB per formula unit) |
| --- | --- |
| 1 | 3.27 |
| 2 | 0.00 |
| 3 | 0.00 |
| 4 | 0.00 |
| 5 | 0.00 |
| 6 | 0.00 |
| 7 | 0.00 |
| 8 | 0.45 |
| 9 | 0.00 |